1.
This record from the Alexandria database describes a geometry-optimized Tl2ZnGe2 structure. The functional is PBE.

Cell: 6.673 6.673 5.430 Å, 90.00 90.00 90.00°
Sites, in units of the cell vectors:
Zn (0.000, 0.000, 0.000)
Zn (0.500, 0.500, 0.000)
Tl (0.179, 0.679, 0.500)
Tl (0.679, 0.821, 0.500)
Tl (0.821, 0.321, 0.500)
Tl (0.321, 0.179, 0.500)
Ge (0.362, 0.862, 0.000)
Ge (0.862, 0.638, 0.000)
Ge (0.638, 0.138, 0.000)
Ge (0.138, 0.362, 0.000)

Calculated values
For the energy of formation from the pure elements, the calculation gives 16.5 kJ per mole of atoms. The crystal system is tetragonal. The calculation puts the total energy at -28.8 eV for the cell shown. The value obtained for the spin magnetization is 0.000 μB/f.u.

***

2.
This record from the Alexandria database describes a geometry-optimized TlZnGe2 structure. The functional is PBE.

Cell: 4.964 4.964 4.964 Å, 60.00 60.00 60.00°
Sites, in units of the cell vectors:
Zn (0.000, 0.000, 0.000)
Tl (0.500, 0.500, 0.500)
Ge (0.250, 0.250, 0.250)
Ge (0.750, 0.750, 0.750)

Calculated values
For the energy of formation from the pure elements, the calculation gives 35.7 kJ per mole of atoms. The crystal system is cubic. The calculation puts the total energy at -11.4 eV for the cell shown. The value obtained for the spin magnetization is 0.000 μB/f.u.